(1)
A plane-wave DFT calculation with GGA-PBE was carried out for a relaxed structure of Nd2YEr3As6.

ΔH_f (0 K) = -1.51 eV/atom
M_tot = 0.00 μB per formula unit
SG = No. 12

```
Nd2YEr3As6
1.0
9.051 -2.078 0.000
9.051 2.078 0.000
-1.899 0.000 8.085
Nd Y Er As
2 1 3 6
direct
0.166 0.166 0.332
0.834 0.834 0.668
0.500 0.500 0.000
0.167 0.167 0.834
0.500 0.500 0.500
0.833 0.833 0.166
0.003 0.003 0.750
0.333 0.333 0.924
0.336 0.336 0.410
0.664 0.664 0.590
0.667 0.667 0.076
0.997 0.997 0.250
```

=====

(2)
A plane-wave DFT calculation with GGA-PBE was carried out for a relaxed structure of Sc3ZnC.

ΔH_f (0 K) = 0.54 eV/atom
M_tot = 0.00 μB per formula unit
SG = No. 160
E above lowest polymorph = 0.9782 eV per atom

```
Sc3ZnC
1.0
7.343 0.000 0.000
-3.672 6.359 0.000
0.000 0.000 9.753
Sc Zn C
9 3 3
direct
0.020 0.510 0.000
0.157 0.314 0.333
0.157 0.843 0.333
0.353 0.176 0.667
0.490 0.510 0.000
0.490 0.980 0.000
0.686 0.843 0.333
0.824 0.176 0.667
0.824 0.647 0.667
0.000 0.000 0.517
0.333 0.667 0.184
0.667 0.333 0.850
0.000 0.000 0.283
0.333 0.667 0.950
0.667 0.333 0.617
```

=====

(3)
A plane-wave DFT calculation with GGA-PBE was carried out for a relaxed structure of LaTm3Tc.

ΔH_f (0 K) = 0.06 eV/atom
M_tot = 0.00 μB per formula unit
SG = No. 221
E above lowest polymorph = 0.0923 eV per atom

```
LaTm3Tc
1.0
5.369 0.000 0.000
0.000 5.369 0.000
0.000 0.000 5.369
La Tm Tc
1 3 1
direct
0.000 0.000 0.000
0.000 0.500 0.500
0.500 0.000 0.500
0.500 0.500 0.000
0.500 0.500 0.500
```

=====

(4)
A plane-wave DFT calculation with GGA-PBE was carried out for a relaxed structure of Y2HoTm2.

ΔH_f (0 K) = 0.03 eV/atom
M_tot = 0.00 μB per formula unit
SG = No. 14
E above lowest polymorph = 0.0000 eV per atom

```
Y2HoTm2
1.0
14.547 0.000 0.000
0.000 7.057 0.000
-0.857 0.000 6.048
Y Ho Tm
8 4 8
direct
0.100 0.125 0.449
0.100 0.375 0.949
0.301 0.625 0.849
0.301 0.875 0.349
0.699 0.125 0.651
0.699 0.375 0.151
0.900 0.625 0.051
0.900 0.875 0.551
0.301 0.125 0.850
0.301 0.375 0.350
0.699 0.625 0.650
0.699 0.875 0.150
0.100 0.625 0.449
0.100 0.875 0.949
0.500 0.125 0.249
0.500 0.375 0.749
0.500 0.625 0.251
0.500 0.875 0.751
0.900 0.125 0.051
0.900 0.375 0.551
```

=====

(5)
A plane-wave DFT calculation with GGA-PBE was carried out for a relaxed structure of AgMoOs3.

ΔH_f (0 K) = 2.23 eV/atom
M_tot = 2.12 μB per formula unit
SG = No. 221
E above lowest polymorph = 0.0000 eV per atom

```
AgMoOs3
1.0
4.706 0.000 0.000
0.000 4.706 0.000
0.000 0.000 4.706
Ag Mo Os
1 1 3
direct
0.000 0.000 0.000
0.500 0.500 0.500
0.000 0.500 0.500
0.500 0.000 0.500
0.500 0.500 0.000
```

=====

(6)
A plane-wave DFT calculation with GGA-PBE was carried out for a relaxed structure of PmCo2Sn3.

ΔH_f (0 K) = -0.07 eV/atom
M_tot = 0.00 μB per formula unit
SG = No. 164

```
PmCo2Sn3
1.0
7.030 0.000 0.000
-3.515 6.089 0.000
0.000 0.000 6.008
Pm Co Sn
2 4 6
direct
0.333 0.667 0.197
0.667 0.333 0.803
0.000 0.000 0.500
0.000 0.500 0.500
0.500 0.000 0.500
0.500 0.500 0.500
0.164 0.328 0.764
0.164 0.836 0.764
0.328 0.164 0.236
0.672 0.836 0.764
0.836 0.164 0.236
0.836 0.672 0.236
```

=====

(7)
A plane-wave DFT calculation with GGA-PBE was carried out for a relaxed structure of SiNi2Ir.

electronic total energy = -6.837 eV per atom
M_tot = 0.28 μB per formula unit
SG = No. 123

```
SiNi2Ir
1.0
3.578 0.000 0.000
0.000 3.578 0.000
0.000 0.000 3.746
Si Ni Ir
1 2 1
direct
0.000 0.000 0.000
0.000 0.500 0.500
0.500 0.000 0.500
0.500 0.500 0.000
```

=====

(8)
A plane-wave DFT calculation with GGA-PBE was carried out for a relaxed structure of HgAsSe2N.

M_tot = 1.71 μB per formula unit
SG = No. 123
E above lowest polymorph = 0.6077 eV per atom

```
HgAsSe2N
1.0
5.352 0.000 0.000
0.000 5.352 0.000
0.000 0.000 4.089
Hg As Se N
1 1 2 1
direct
0.000 0.000 0.000
0.500 0.500 0.500
0.000 0.500 0.000
0.500 0.000 0.000
0.000 0.000 0.500
```